! PBE Ba2CdH6Ir, relaxed; values from VASP
! * raw total energy: -3.846 eV per atom
! * DOS at the Fermi energy: 2.718 states/eV per cell
&SYSTEM
  ibrav = 0, nat = 10, ntyp = 4
/
ATOMIC_SPECIES
Ba 137.33 Ba.upf
Cd 112.41 Cd.upf
H 1.01 H.upf
Ir 192.22 Ir.upf
ATOMIC_POSITIONS crystal
Ba 0.333 0.667 0.207
Ba 0.667 0.333 0.793
Cd 0.000 0.000 0.500
H 0.156 0.312 0.884
H 0.156 0.844 0.884
H 0.312 0.156 0.116
H 0.688 0.844 0.884
H 0.844 0.156 0.116
H 0.844 0.688 0.116
Ir 0.000 0.000 0.000
CELL_PARAMETERS angstrom
5.186 0.000 0.000
-2.593 4.491 0.000
0.000 0.000 8.088